Entry from Alexandria: a relaxed Ba2ScReO6 crystal (PBE-GGA).

Structure (extended XYZ):
```
20
Lattice="2.965 1.712 9.740 -2.965 1.712 9.740 0.000 -3.423 9.740" Properties=species:S:1:pos:R:3 pbc="T T T"
Ba 0.000 0.000 3.812
Ba 0.000 0.000 8.244
Ba 0.000 0.000 20.977
Ba 0.000 0.000 25.409
Sc 0.000 0.000 11.851
Sc 0.000 0.000 17.370
Re 0.000 0.000 0.000
Re 0.000 0.000 14.610
O -1.371 -0.792 13.405
O 0.000 -1.790 10.870
O -1.550 0.895 10.870
O -1.550 -0.895 18.351
O 0.000 -1.584 15.816
O -1.371 0.792 15.816
O 1.371 -0.792 13.405
O 0.000 1.584 13.405
O 1.550 0.895 10.870
O 1.550 -0.895 18.351
O 0.000 1.790 18.351
O 1.371 0.792 15.816
```

Computed properties:
**Spin magnetization**: 3.98 μB per cell
**Formation energy (no corrections)**: -248.8 kJ/mol of atoms